1.
This record from the Alexandria database describes an optimized crystal structure of Ac2NbVO6. The functional is GGA+U.

Results
The calculation puts the raw total energy at -8.3492 eV per atom.

Cell lengths 5.702, 5.703, 5.704 Å; angles 62.82, 62.81, 62.83 degrees
Space group P-1 (No. 2)
Inequivalent atoms, fractional coordinates:
Ac1 0.249 0.249 0.249 [2 per cell]
Nb1 0.000 0.000 0.000 [1 per cell]
V1 0.500 0.500 0.500 [1 per cell]
O1 0.171 0.751 0.321 [2 per cell]
O2 0.246 0.679 0.829 [2 per cell]
O3 0.322 0.170 0.753 [2 per cell]

2.
This record from the Alexandria database describes an optimized crystal structure of AcNbV2O8. The functional is GGA+U.

Results
The calculation puts the raw total energy at -8.0789 eV per atom.

Cell lengths 5.6781, 5.6781, 6.9026 Å; angles 90.00, 90.00, 120.00 degrees
Space group P-3m1 (No. 164)
Inequivalent atoms, fractional coordinates:
Ac1 0.0000 0.0000 0.0000 [1 per cell]
Nb1 0.0000 0.0000 0.5000 [1 per cell]
V1 0.3333 0.6667 0.7682 [2 per cell]
O1 0.1578 0.3156 0.6878 [6 per cell]
O2 0.3333 0.6667 0.0161 [2 per cell]